No. 1
BaCa2HgIr | GGA-PBE | relaxed

POSCAR file:
```
BaCa2HgIr
1.0
-2.411 1.988 -4.504
-3.945 -3.781 0.444
-2.969 3.464 3.118
Ca Hg Ir Ba
2 1 1 1
direct
0.000 0.500 0.000
0.500 0.000 0.000
0.000 0.000 0.500
0.000 0.000 0.000
0.500 0.500 0.500
```

Calculated values
Distance to the lowest polymorph of the same formula   27 kJ/mol of formula units
Energy relative to the elements   -0.18 eV per atom
Electronic total energy   -16.00 eV/cell

No. 2
BaCa2HgIr | GGA-PBE | relaxed

POSCAR file:
```
BaCa2HgIr
1.0
-4.464 -2.038 2.504
-0.814 -3.426 -4.238
3.438 -4.185 2.723
Ir Ba Ca Hg
1 1 2 1
direct
0.000 0.000 0.000
0.000 0.000 0.500
0.000 0.500 0.000
0.500 0.000 0.000
0.500 0.500 0.500
```

Calculated values
Distance to the lowest polymorph of the same formula   0 kJ/mol of formula units
Energy relative to the elements   -0.24 eV per atom
Electronic total energy   -16.28 eV/cell